Entry 1:
DFT (PBE) results for a relaxed TlAg2As crystal.

```
TlAg2As
1.0
-1.3177 -0.9765 2.7461
2.5037 -1.9177 0.5337
3.8476 6.1454 4.0316
Ag Tl As
2 1 1
direct
0.0000 0.0000 0.4672
0.0000 0.0000 0.0328
0.5000 0.5000 0.7500
0.5000 0.5000 0.2500
```

Energy relative to the elements in eV per atom: 0.20
Crystal system: orthorhombic
Density of states at the Fermi level in states/eV per cell: 2.4

Entry 2:
DFT (PBE) results for a relaxed Tl2Ag2As crystal.

```
Tl2Ag2As
1.0
8.5455 0.0000 0.0000
0.0000 8.5455 0.0000
0.0000 0.0000 3.2308
Ag Tl As
4 4 2
direct
0.3852 0.1148 0.5000
0.1148 0.6148 0.5000
0.8852 0.3852 0.5000
0.6148 0.8852 0.5000
0.3160 0.8160 0.0000
0.8160 0.6840 0.0000
0.6840 0.1840 0.0000
0.1840 0.3160 0.0000
0.0000 0.0000 0.0000
0.5000 0.5000 0.0000
```

Energy relative to the elements in eV per atom: 0.32
Crystal system: tetragonal
Energy above the lowest structure with this stoichiometry in meV/atom: 198
Density of states at the Fermi level in states/eV per cell: 4.4

Entry 3:
DFT (PBE) results for a relaxed Tl3AgAs crystal.

```
Tl3AgAs
1.0
5.4469 0.0000 0.0000
0.0000 5.4469 0.0000
0.0000 0.0000 5.4469
Tl Ag As
3 1 1
direct
0.5000 0.0000 0.0000
0.0000 0.5000 0.0000
0.0000 0.0000 0.5000
0.0000 0.0000 0.0000
0.5000 0.5000 0.5000
```

Energy relative to the elements in eV per atom: 0.43
Crystal system: cubic
Energy above the lowest structure with this stoichiometry in meV/atom: 346
Density of states at the Fermi level in states/eV per cell: 3.9

Entry 4:
DFT (PBE) results for a relaxed Tl2Ag2As crystal.

```
Tl2Ag2As
1.0
7.0123 0.0000 0.0000
0.0000 7.0123 0.0000
0.0000 0.0000 4.9975
Tl As Ag
4 2 4
direct
0.8289 0.3289 0.5000
0.6711 0.8289 0.5000
0.1711 0.6711 0.5000
0.3289 0.1711 0.5000
0.5000 0.5000 0.0000
0.0000 0.0000 0.0000
0.6472 0.1472 0.0000
0.8528 0.6472 0.0000
0.3528 0.8528 0.0000
0.1472 0.3528 0.0000
```

Energy relative to the elements in eV per atom: 0.13
Crystal system: tetragonal
Energy above the lowest structure with this stoichiometry in meV/atom: 0
Density of states at the Fermi level in states/eV per cell: 3.8

Entry 5:
DFT (PBE) results for a relaxed TlAg3As3 crystal.

```
TlAg3As3
1.0
7.2348 0.0000 0.0000
0.0000 7.2348 0.0000
0.0000 0.0000 7.2348
Tl As Ag
2 6 6
direct
0.5000 0.5000 0.5000
0.0000 0.0000 0.0000
0.2500 0.5000 0.0000
0.7500 0.5000 0.0000
0.5000 0.0000 0.2500
0.0000 0.7500 0.5000
0.0000 0.2500 0.5000
0.5000 0.0000 0.7500
0.0000 0.5000 0.7500
0.7500 0.0000 0.5000
0.5000 0.2500 0.0000
0.0000 0.5000 0.2500
0.5000 0.7500 0.0000
0.2500 0.0000 0.5000
```

Energy relative to the elements in eV per atom: 0.33
Crystal system: cubic
Density of states at the Fermi level in states/eV per cell: 9.6

Entry 6:
DFT (PBE) results for a relaxed TlAg2As2 crystal.

```
TlAg2As2
1.0
8.4660 0.0000 0.0000
0.0000 8.4660 0.0000
0.0000 0.0000 2.9863
Ag As Tl
4 4 2
direct
0.3560 0.8560 0.0000
0.6440 0.1440 0.0000
0.8560 0.6440 0.0000
0.1440 0.3560 0.0000
0.8494 0.3494 0.5000
0.3494 0.1506 0.5000
0.1506 0.6506 0.5000
0.6506 0.8494 0.5000
0.0000 0.0000 0.0000
0.5000 0.5000 0.0000
```

Energy relative to the elements in eV per atom: 0.17
Crystal system: tetragonal
Energy above the lowest structure with this stoichiometry in meV/atom: 124
Density of states at the Fermi level in states/eV per cell: 3.3

One value per record, in order, for total magnetization: 0.00, 0.00, 0.42, 0.00, 0.00, 0.00 μB/cell.
One value per record, in order, for electronic total energy: -2.982, -2.693, -2.491, -2.891, -3.224, -3.304 eV per atom.